{"formula": "CrGePdO6", "functional": "GGA+U", "state": "optimized geometry", "total_energy_ev_per_atom": -6.38, "sg": "P4_2nm", "lattice": [[4.517, 0.000, 0.000], [0.000, 4.517, 0.000], [0.000, 0.000, 9.069]], "species": ["Cr", "Cr", "Ge", "Ge", "Pd", "Pd", "O", "O", "O", "O", "O", "O", "O", "O", "O", "O", "O", "O"], "frac_coords": [[0.000, 0.000, 0.000], [0.500, 0.500, 0.500], [0.000, 0.000, 0.333], [0.500, 0.500, 0.833], [0.000, 0.000, 0.667], [0.500, 0.500, 0.167], [0.186, 0.186, 0.169], [0.196, 0.196, 0.493], [0.200, 0.200, 0.840], [0.300, 0.700, 0.340], [0.304, 0.696, 0.993], [0.314, 0.686, 0.669], [0.686, 0.314, 0.669], [0.696, 0.304, 0.993], [0.700, 0.300, 0.340], [0.800, 0.800, 0.840], [0.804, 0.804, 0.493], [0.814, 0.814, 0.169]]}